# PuTlPbCl6

Crystalline PuTlPbCl6 at its relaxed geometry (GGA-PBE, Alexandria via LeMat-Bulk). Values from VASP.

```
&SYSTEM
  ibrav = 0, nat = 18, ntyp = 4
/
ATOMIC_SPECIES
Pb 207.20 Pb.upf
Pu 244.00 Pu.upf
Cl 35.45 Cl.upf
Tl 204.38 Tl.upf
ATOMIC_POSITIONS angstrom
Pb 0.000 4.311 3.341
Pb 3.733 2.155 10.022
Pu 0.000 4.311 10.022
Pu 3.733 2.155 3.341
Cl -2.269 4.171 11.542
Cl 4.747 0.120 4.860
Cl 6.003 2.295 1.821
Cl -1.256 2.416 8.503
Cl 2.478 4.051 1.821
Cl 4.989 4.051 4.860
Cl 2.269 4.171 8.503
Cl 1.013 6.346 11.542
Cl -1.013 6.346 8.503
Cl 2.720 0.120 1.821
Cl 1.464 2.295 4.860
Cl 1.256 2.416 11.542
Tl 0.000 0.000 6.682
Tl 0.000 0.000 0.000
CELL_PARAMETERS angstrom
7.467 0.000 0.000
-3.733 6.466 0.000
0.000 0.000 13.363
```

symmetry: P-31c (163)
uncorrected formation energy: -1.474 eV/atom
raw total energy: -4.97 eV per atom
Fermi-level density of states: 1.25 states/eV/atom

***

# Ce5BCl5

Crystalline Ce5BCl5 at its relaxed geometry (GGA-PBE, Alexandria via LeMat-Bulk). Values from VASP.

```
&SYSTEM
  ibrav = 0, nat = 11, ntyp = 3
/
ATOMIC_SPECIES
Ce 140.12 Ce.upf
Cl 35.45 Cl.upf
B 10.81 B.upf
ATOMIC_POSITIONS angstrom
Ce -1.253 0.858 -2.365
Ce -0.603 -2.462 -0.574
Ce 0.658 -1.916 -4.384
Ce -2.726 -4.684 -3.596
Ce -3.987 -5.229 0.214
Cl -3.140 -2.451 0.774
Cl -1.275 -5.307 -1.251
Cl -5.039 -4.043 -2.139
Cl 1.710 -3.102 -2.031
Cl -2.055 -1.838 -2.919
B 0.000 0.000 0.000
CELL_PARAMETERS angstrom
-2.505 1.717 -4.730
5.457 -3.960 -0.987
-6.281 -4.902 1.547
```

symmetry: C2/m (12)
uncorrected formation energy: -1.360 eV/atom
raw total energy: -5.50 eV per atom
Fermi-level density of states: 2.36 states/eV/atom

***

# Nd4GeTeS2

Crystalline Nd4GeTeS2 at its relaxed geometry (GGA-PBE, Alexandria via LeMat-Bulk). Values from VASP.

```
&SYSTEM
  ibrav = 0, nat = 8, ntyp = 4
/
ATOMIC_SPECIES
S 32.06 S.upf
Nd 144.24 Nd.upf
Te 127.60 Te.upf
Ge 72.64 Ge.upf
ATOMIC_POSITIONS angstrom
S 2.117 1.294 3.499
S 0.000 2.588 6.997
Nd 2.117 6.195 1.733
Nd 0.000 7.486 4.976
Nd 2.117 3.676 5.142
Nd 4.234 2.385 1.898
Te 2.117 3.642 -0.061
Ge 0.000 4.936 3.437
CELL_PARAMETERS angstrom
4.234 0.000 0.000
0.000 7.283 -0.123
0.000 2.588 6.997
```

symmetry: P2/m (10)
uncorrected formation energy: -1.600 eV/atom
raw total energy: -5.99 eV per atom
Fermi-level density of states: 0.36 states/eV/atom

***

# Ac2NdMg5

Crystalline Ac2NdMg5 at its relaxed geometry (GGA-PBE, Alexandria via LeMat-Bulk). Values from VASP.

```
&SYSTEM
  ibrav = 0, nat = 8, ntyp = 3
/
ATOMIC_SPECIES
Mg 24.30 Mg.upf
Ac 227.00 Ac.upf
Nd 144.24 Nd.upf
ATOMIC_POSITIONS angstrom
Mg 5.658 -3.983 0.786
Mg -0.095 -2.603 1.943
Mg 1.906 -2.270 -1.332
Mg -1.058 -3.564 -1.008
Mg 3.658 -4.316 4.061
Ac 3.449 -1.575 1.947
Ac 2.114 -5.012 0.782
Nd 0.000 0.000 0.000
CELL_PARAMETERS angstrom
-3.058 -3.897 2.267
0.943 -3.231 -4.283
7.679 0.542 4.746
```

energy of formation: -0.5 eV per formula unit
symmetry: I4/mmm (139)
raw total energy: -2.69 eV per atom
Fermi-level density of states: 0.98 states/eV/atom

***

# NaRu6S8

Crystalline NaRu6S8 at its relaxed geometry (GGA-PBE, Alexandria via LeMat-Bulk). Values from VASP.

```
&SYSTEM
  ibrav = 0, nat = 15, ntyp = 3
/
ATOMIC_SPECIES
Ru 101.07 Ru.upf
S 32.06 S.upf
Na 22.99 Na.upf
ATOMIC_POSITIONS angstrom
Ru 5.007 3.795 2.603
Ru 2.560 3.592 1.149
Ru 3.705 2.878 4.923
Ru 3.550 1.344 2.523
Ru 1.258 2.675 3.470
Ru 2.715 5.126 3.549
S 0.752 4.777 2.155
S 1.510 1.559 1.463
S 2.302 0.905 4.681
S 3.963 5.565 1.392
S 4.704 2.330 0.684
S 4.755 4.911 4.609
S 1.561 4.140 5.388
S 5.513 1.693 3.917
Na 0.000 0.000 0.000
CELL_PARAMETERS angstrom
6.333 0.069 -0.131
-0.135 6.332 -0.131
0.067 0.069 6.334
```

symmetry: R-3 (148)
uncorrected formation energy: -0.363 eV/atom
raw total energy: -6.36 eV per atom
Fermi-level density of states: 0.83 states/eV/atom

***

# CaV2Pd

Crystalline CaV2Pd at its relaxed geometry (GGA-PBE, Alexandria via LeMat-Bulk). Values from VASP.

```
&SYSTEM
  ibrav = 0, nat = 4, ntyp = 3
/
ATOMIC_SPECIES
Ca 40.08 Ca.upf
Pd 106.42 Pd.upf
V 50.94 V.upf
ATOMIC_POSITIONS angstrom
Ca 0.000 0.000 0.000
Pd 3.323 3.323 3.323
V 1.661 1.661 1.661
V 4.984 4.984 4.984
CELL_PARAMETERS angstrom
0.000 3.323 3.323
3.323 0.000 3.323
3.323 3.323 0.000
```

energy of formation: 2.4 eV per formula unit
symmetry: Fm-3m (225)
raw total energy: -5.77 eV per atom
Fermi-level density of states: 2.06 states/eV/atom

***

# Y2TePt

Crystalline Y2TePt at its relaxed geometry (GGA-PBE, Alexandria via LeMat-Bulk). Values from VASP.

```
&SYSTEM
  ibrav = 0, nat = 4, ntyp = 3
/
ATOMIC_SPECIES
Y 88.91 Y.upf
Pt 195.08 Pt.upf
Te 127.60 Te.upf
ATOMIC_POSITIONS angstrom
Y 2.099 1.212 5.732
Y 2.099 1.212 1.505
Pt 4.198 2.423 0.008
Te 4.198 2.423 3.623
CELL_PARAMETERS angstrom
4.198 0.000 0.000
2.099 3.635 0.000
2.099 1.212 7.246
```

symmetry: R3m (160)
uncorrected formation energy: -1.278 eV/atom
raw total energy: -6.81 eV per atom
Fermi-level density of states: 0.24 states/eV/atom

***

# La2Cd2GaPt4

Crystalline La2Cd2GaPt4 at its relaxed geometry (GGA-PBE, Alexandria via LeMat-Bulk). Values from VASP.

```
&SYSTEM
  ibrav = 0, nat = 9, ntyp = 4
/
ATOMIC_SPECIES
Pt 195.08 Pt.upf
Cd 112.41 Cd.upf
La 138.91 La.upf
Ga 69.72 Ga.upf
ATOMIC_POSITIONS angstrom
Pt -2.313 0.366 4.151
Pt 0.969 -0.282 4.658
Pt -2.108 -1.249 0.363
Pt -1.523 3.426 2.943
Cd -0.377 2.137 5.166
Cd -0.177 1.007 2.435
La -3.478 1.446 1.384
La -0.943 -2.328 3.130
Ga 0.000 0.000 0.000
CELL_PARAMETERS angstrom
-3.868 -4.027 -3.087
2.258 -2.201 5.546
-2.812 5.346 2.055
```

energy of formation: -6.3 eV per formula unit
symmetry: I4/mmm (139)
raw total energy: -5.02 eV per atom
Fermi-level density of states: 0.41 states/eV/atom